Pr2Sm3Dy3: relaxed, PBE.

The calculation puts the energy of formation at 0.1312 eV per atom. The calculation puts the volume at 34.12 A^3/atom. The calculation puts the energy relative to the lowest polymorph listed for this composition at 2.590 kcal/mol of atoms. As for the density: 7424 kg/m3. The value obtained for the raw total energy is -145.9 eV for the cell shown. The density of states at the Fermi level is 1.534 states/eV per atom.

The structure belongs to space group Cmcm (No. 63); the cell edges are 5.6398, 11.9937 and 16.1420 Å and the angles 90.00°, 90.00° and 90.00°. The distinct sites, in fractional coordinates, are Pr at (0.0000, 0.2199, 0.1277), Sm at (0.0000, 0.0774, 0.5929), Sm at (0.0000, 0.2641, 0.7500), Dy at (0.0000, 0.3821, 0.5505) and Dy at (0.0000, 0.4596, 0.2500).